1.
NaSrTl3 | GGA-PBE | relaxed

Its electronic total energy is -2.22 eV/atom. Its space-group type is P2_1/m (11).

Cell lengths 6.230, 6.984, 7.647 Å; angles 90.00, 90.00, 102.50 degrees
Fractional positions:
Tl  0.321  0.630  0.047
Tl  0.321  0.630  0.453
Tl  0.679  0.370  0.953
Tl  0.679  0.370  0.547
Tl  0.001  0.256  0.250
Tl  0.999  0.744  0.750
Na  0.570  0.916  0.750
Na  0.430  0.084  0.250
Sr  0.145  0.247  0.750
Sr  0.855  0.753  0.250


2.
LiW2Se | GGA-PBE | relaxed

For the uncorrected formation energy, the calculation gives 0.42 eV per atom. Its space-group type is Cm (8).

Cell lengths 4.591, 4.591, 5.407 Å; angles 75.62, 75.62, 37.34 degrees
Fractional positions:
W  0.962  0.962  0.969
W  0.742  0.742  0.745
Li  0.524  0.524  0.459
Se  0.273  0.273  0.327


3.
AlRe2Tc | GGA-PBE | relaxed

Its electronic total energy is -9.93 eV/atom. Its space-group type is Immm (71).

Cell lengths 5.130, 5.130, 5.130 Å; angles 144.99, 130.75, 61.85 degrees
Fractional positions:
Al  0.750  0.250  0.500
Re  0.999  0.999  0.000
Re  0.501  0.501  0.000
Tc  0.250  0.750  0.500


4.
Na2Mg | GGA-PBE | relaxed

Its electronic total energy is -1.22 eV/atom. Its space-group type is Fd-3m (227).

Cell lengths 6.390, 6.390, 6.390 Å; angles 60.00, 60.00, 60.00 degrees
Fractional positions:
Na  0.125  0.125  0.125
Na  0.625  0.125  0.125
Na  0.125  0.625  0.125
Na  0.125  0.125  0.625
Mg  0.500  0.500  0.500
Mg  0.750  0.750  0.750


5.
Al2IrOs | GGA-PBE | relaxed

Its electronic total energy is -7.29 eV/atom. Its space-group type is P2/m (10).

Cell lengths 2.839, 4.950, 5.222 Å; angles 51.33, 90.00, 90.00 degrees
Fractional positions:
Os  0.000  0.000  0.500
Ir  0.500  0.500  0.500
Al  0.500  0.500  0.000
Al  0.000  0.000  0.000


6.
CeY6Er2Tm | GGA-PBE | relaxed

Its electronic total energy is -5.68 eV/atom. Its space-group type is C2/c (15).

Cell lengths 9.683, 8.683, 8.683 Å; angles 116.40, 95.06, 95.06 degrees
Fractional positions:
Er  0.451  0.809  0.715
Er  0.951  0.715  0.809
Er  0.549  0.191  0.285
Er  0.049  0.285  0.191
Tm  0.750  0.025  0.975
Tm  0.250  0.975  0.025
Y  0.557  0.750  0.117
Y  0.057  0.117  0.750
Y  0.118  0.699  0.493
Y  0.817  0.428  0.982
Y  0.882  0.301  0.507
Y  0.683  0.018  0.572
Y  0.183  0.572  0.018
Y  0.943  0.883  0.250
Y  0.382  0.507  0.301
Y  0.317  0.982  0.428
Y  0.618  0.493  0.699
Y  0.443  0.250  0.883
Ce  0.750  0.594  0.406
Ce  0.250  0.406  0.594


7.
CdRhS2Cl | GGA-PBE | relaxed

For the uncorrected formation energy, the calculation gives 0.06 eV per atom. Its space-group type is P4/mmm (123).

Cell lengths 4.686, 4.686, 4.797 Å; angles 90.00, 90.00, 90.00 degrees
Fractional positions:
Cl  0.000  0.000  0.500
S  0.000  0.500  0.000
S  0.500  0.000  0.000
Cd  0.500  0.500  0.500
Rh  0.000  0.000  0.000


8.
Mg3SbF | GGA-PBE | relaxed

For the uncorrected formation energy, the calculation gives -0.11 eV per atom. Its space-group type is Pm-3m (221).

Cell lengths 5.660, 5.660, 5.660 Å; angles 90.00, 90.00, 90.00 degrees
Fractional positions:
Sb  0.000  0.000  0.000
Mg  0.000  0.500  0.000
Mg  0.000  0.000  0.500
Mg  0.500  0.000  0.000
F  0.500  0.500  0.500


9.
CdSn3I8 | GGA-PBE | relaxed

For the uncorrected formation energy, the calculation gives -0.50 eV per atom. Its space-group type is P6_3mc (186).

Cell lengths 9.141, 9.141, 14.311 Å; angles 90.00, 90.00, 120.00 degrees
Fractional positions:
I  0.000  0.000  0.339
I  0.828  0.172  0.090
I  0.980  0.490  0.850
I  0.510  0.020  0.850
I  0.667  0.333  0.584
I  0.510  0.490  0.850
I  0.172  0.345  0.590
I  0.000  0.000  0.839
I  0.345  0.172  0.090
I  0.828  0.655  0.090
I  0.333  0.667  0.084
I  0.490  0.510  0.350
I  0.172  0.828  0.590
I  0.490  0.980  0.350
I  0.020  0.510  0.350
I  0.655  0.828  0.590
Sn  0.338  0.169  0.714
Sn  0.662  0.831  0.214
Sn  0.831  0.169  0.714
Sn  0.169  0.338  0.214
Sn  0.831  0.662  0.714
Sn  0.169  0.831  0.214
Cd  0.667  0.333  0.974
Cd  0.333  0.667  0.474


10.
TaGaCo2 | GGA-PBE | relaxed

Its electronic total energy is -7.53 eV/atom. Its space-group type is P4/mmm (123).

Cell lengths 3.099, 3.099, 5.555 Å; angles 90.00, 90.00, 90.00 degrees
Fractional positions:
Ta  0.500  0.500  0.500
Ga  0.500  0.500  0.000
Co  0.000  0.000  0.752
Co  0.000  0.000  0.248


11.
NaAlIn2 | GGA-PBE | relaxed

Its electronic total energy is -2.61 eV/atom. Its space-group type is Pm (6).

Cell lengths 3.189, 4.785, 6.545 Å; angles 90.01, 79.94, 89.99 degrees
Fractional positions:
In  0.903  0.936  0.343
In  0.151  0.936  0.809
Na  0.558  0.436  0.050
Al  0.290  0.436  0.554


12.
Ni2H | GGA-PBE | relaxed

Its electronic total energy is -4.99 eV/atom. Its space-group type is C2/m (12).

Cell lengths 2.557, 2.557, 4.447 Å; angles 106.86, 106.86, 59.92 degrees
Fractional positions:
Ni  0.747  0.747  0.742
Ni  0.253  0.253  0.258
H  0.500  0.500  0.000


13.
K6WN4 | GGA-PBE | relaxed

For the uncorrected formation energy, the calculation gives -0.11 eV per atom. Its space-group type is P4_2/nmc (137).

Cell lengths 8.235, 8.235, 6.762 Å; angles 90.00, 90.00, 90.00 degrees
Fractional positions:
K  0.500  0.000  0.179
K  0.297  0.297  0.000
K  0.297  0.703  0.000
K  0.203  0.797  0.500
K  0.703  0.703  0.000
K  0.500  0.000  0.679
K  0.797  0.797  0.500
K  0.000  0.500  0.321
K  0.000  0.500  0.821
K  0.703  0.297  0.000
K  0.797  0.203  0.500
K  0.203  0.203  0.500
W  0.500  0.500  0.500
W  0.000  0.000  0.000
N  0.303  0.500  0.654
N  0.500  0.303  0.346
N  0.500  0.697  0.346
N  0.197  0.000  0.846
N  0.697  0.500  0.654
N  0.000  0.197  0.154
N  0.000  0.803  0.154
N  0.803  0.000  0.846


14.
MnBiAuN | GGA-PBE | relaxed

For the uncorrected formation energy, the calculation gives 0.26 eV per atom. Its space-group type is P3m1 (156).

Cell lengths 4.832, 4.832, 3.568 Å; angles 90.00, 90.00, 120.00 degrees
Fractional positions:
Mn  0.333  0.667  0.535
N  0.333  0.667  0.025
Bi  0.667  0.333  0.232
Au  0.000  0.000  0.540


15.
Bi3AsRu | GGA-PBE | relaxed

Its electronic total energy is -4.56 eV/atom. Its space-group type is Pm-3m (221).

Cell lengths 5.255, 5.255, 5.255 Å; angles 90.00, 90.00, 90.00 degrees
Fractional positions:
Bi  0.000  0.500  0.000
Bi  0.500  0.000  0.000
Bi  0.000  0.000  0.500
As  0.500  0.500  0.500
Ru  0.000  0.000  0.000


16.
TbZn2Ni2Ge | GGA-PBE | relaxed

Its electronic total energy is -4.09 eV/atom. Its space-group type is P4/mmm (123).

Cell lengths 4.375, 4.375, 5.554 Å; angles 90.00, 90.00, 90.00 degrees
Fractional positions:
Zn  0.500  0.500  0.262
Zn  0.500  0.500  0.738
Ge  0.000  0.000  0.000
Ni  0.500  0.000  0.000
Ni  0.000  0.500  0.000
Tb  0.000  0.000  0.500


17.
Pr2PtAu3 | GGA-PBE | relaxed

Its electronic total energy is -5.04 eV/atom. Its space-group type is Pmm2 (25).

Cell lengths 3.702, 4.881, 7.934 Å; angles 90.00, 90.00, 90.00 degrees
Fractional positions:
Pr  0.000  0.500  0.021
Pr  0.000  0.000  0.489
Au  0.500  0.000  0.825
Au  0.500  0.000  0.170
Au  0.500  0.500  0.670
Pt  0.500  0.500  0.325


18.
YBeSb2 | GGA-PBE | relaxed

For the uncorrected formation energy, the calculation gives 0.20 eV per atom. Its space-group type is F-43m (216).

Cell lengths 5.159, 5.159, 5.159 Å; angles 60.00, 60.00, 60.00 degrees
Fractional positions:
Sb  0.250  0.250  0.250
Sb  0.000  0.000  0.000
Y  0.750  0.750  0.750
Be  0.500  0.500  0.500


19.
HfH | GGA-PBE | relaxed

Its electronic total energy is -6.99 eV/atom. Its space-group type is I-4m2 (119).

Cell lengths 3.281, 3.281, 4.708 Å; angles 90.00, 90.00, 90.00 degrees
Fractional positions:
H  0.000  0.000  0.000
H  0.500  0.500  0.500
Hf  0.000  0.500  0.250
Hf  0.500  0.000  0.750


20.
Ba3HgAu | GGA-PBE | relaxed

Its electronic total energy is -2.33 eV/atom. Its space-group type is Pm (6).

Cell lengths 4.644, 10.201, 10.213 Å; angles 71.22, 90.00, 90.00 degrees
Fractional positions:
Ba  0.863  0.757  0.438
Ba  0.863  0.651  0.036
Ba  0.863  0.001  0.684
Ba  0.863  0.405  0.788
Ba  0.363  0.355  0.395
Ba  0.363  0.047  0.086
Au  0.363  0.201  0.741
Au  0.363  0.700  0.239
Hg  0.863  0.128  0.314
Hg  0.363  0.696  0.744


21.
Pa2PC | GGA-PBE | relaxed

Its electronic total energy is -8.77 eV/atom. Its space-group type is P4/mmm (123).

Cell lengths 3.204, 3.204, 6.561 Å; angles 90.00, 90.00, 90.00 degrees
Fractional positions:
C  0.500  0.500  0.000
P  0.500  0.500  0.500
Pa  0.000  0.000  0.772
Pa  0.000  0.000  0.228


22.
Li2PmNpO6 | GGA-PBE | relaxed

For the uncorrected formation energy, the calculation gives -2.67 eV per atom. Its space-group type is R-3 (148).

Cell lengths 6.190, 6.190, 6.190 Å; angles 51.58, 51.58, 51.58 degrees
Fractional positions:
Np  0.000  0.000  0.000
O  0.088  0.748  0.374
O  0.748  0.374  0.088
O  0.252  0.626  0.912
O  0.912  0.252  0.626
O  0.374  0.088  0.748
O  0.626  0.912  0.252
Li  0.301  0.301  0.301
Li  0.699  0.699  0.699
Pm  0.500  0.500  0.500


Computed total magnetic moment (μB per cell) in order:
0.0; 0.0; 0.0; 0.0; 0.0; 2.7; 0.0; 0.0; 0.0; 0.0; 0.0; 0.3; 0.0; 1.8; 0.0; 0.0; 0.0; 0.0; 0.0; 0.0; 0.0; 0.0
Computed calculated volume (Å³/cell) in order:
324.9; 66.7; 58.1; 184.5; 57.3; 644.6; 105.3; 181.3; 1035.7; 53.3; 98.3; 23.7; 458.5; 72.1; 145.1; 106.3; 143.4; 97.1; 50.7; 458.1; 67.4; 134.4